Record 1
# RhAuSe2

A relaxed structure of RhAuSe2 (PBE, Alexandria).

```
RhAuSe2
1.0
4.646 0.019 0.032
-1.716 4.316 0.020
1.213 2.290 3.853
Se Rh Au
2 1 1
direct
0.500 0.000 0.500
0.000 0.000 0.000
0.500 0.500 0.000
0.000 0.500 0.500
```

Record 2
# RhAu2Se

A relaxed structure of RhAu2Se (PBE, Alexandria).

```
RhAu2Se
1.0
-2.373 -2.811 1.279
1.902 -2.601 -2.188
2.907 -0.847 3.533
Se Au Rh
1 2 1
direct
0.000 0.500 0.500
0.000 0.000 0.000
0.500 0.500 0.000
0.500 0.000 0.500
```

Record 3
# RhAu2Se

A relaxed structure of RhAu2Se (PBE, Alexandria).

```
RhAu2Se
1.0
6.264 -0.009 -0.018
5.566 2.873 -0.018
0.453 0.110 4.140
Au Rh Se
2 1 1
direct
0.446 0.446 0.519
0.054 0.054 0.981
0.750 0.750 0.750
0.250 0.250 0.250
```

Record 4
# RhAuSe2

A relaxed structure of RhAuSe2 (PBE, Alexandria).

```
RhAuSe2
1.0
15.014 0.000 -0.033
2.356 5.968 -3.676
-2.356 5.968 3.676
Se Au Rh
16 8 8
direct
0.250 0.313 0.813
0.965 0.402 0.834
0.035 0.598 0.166
0.726 0.252 0.352
0.750 0.403 0.903
0.226 0.148 0.248
0.750 0.687 0.187
0.009 0.811 0.529
0.491 0.029 0.311
0.465 0.666 0.098
0.991 0.189 0.471
0.274 0.748 0.648
0.509 0.971 0.689
0.774 0.852 0.752
0.535 0.334 0.902
0.250 0.597 0.097
0.917 0.978 0.888
0.417 0.612 0.522
0.583 0.388 0.478
0.083 0.022 0.112
0.677 0.690 0.489
0.823 0.989 0.190
0.177 0.011 0.810
0.323 0.310 0.511
0.649 0.055 0.853
0.113 0.504 0.928
0.887 0.496 0.072
0.149 0.647 0.445
0.351 0.945 0.147
0.851 0.353 0.555
0.387 0.428 0.004
0.613 0.572 0.996
```

Record 5
# Rh2AuSe

A relaxed structure of Rh2AuSe (PBE, Alexandria).

```
Rh2AuSe
1.0
-2.479 -1.797 1.046
-0.541 -1.013 -3.024
4.015 -4.986 0.952
Se Rh Au
1 2 1
direct
0.000 0.000 0.431
0.000 0.000 0.025
0.500 0.500 0.268
0.500 0.500 0.776
```

Record 6
# RhAuSe2

A relaxed structure of RhAuSe2 (PBE, Alexandria).

```
RhAuSe2
1.0
3.570 0.000 0.000
0.000 4.638 -0.010
0.000 1.889 4.841
Rh Se Au
1 2 1
direct
0.500 0.750 0.750
0.000 0.988 0.933
0.000 0.512 0.567
0.500 0.250 0.250
```

The calculation returns the following formation energy from raw total energies values, one per record and in order: 0.152, 0.288, 0.147, -0.083, 0.153, 0.012 eV/atom.
The calculation returns the following uncorrected energy values, one per record and in order: -16.99, -16.24, -16.80, -17.93, -20.85, -17.55 eV per formula unit.